# 1
Compound: Nb2AgMoOs
Source: the Alexandria database
Functional: PBE
Structure: optimized geometry

Summary:
As for the space group: No. 123. The density of states at the Fermi level comes out at 0.948 states/eV/atom. As for the formation energy: 1.2229 eV per atom. The value obtained for the size of the total moment is 0.00 μB/cell.

a b c (Å): 4.8629 4.8629 4.7282
angles (deg): 90.00 90.00 90.00
Closest atoms and distances in Å follow each position.
Fractional coordinates of all 5 atoms:
Nb1 0.0000 0.5000 0.0000  2 Os 2.43
Nb2 0.5000 0.0000 0.0000  2 Os 2.43
Ag1 0.0000 0.0000 0.5000  8 Nb 3.39, 4 Mo 3.44
Mo1 0.5000 0.5000 0.5000  2 Os 2.36
Os1 0.5000 0.5000 0.0000  2 Mo 2.36, 4 Nb 2.43

# 2
Compound: NbAgMoPb2
Source: the Alexandria database
Functional: PBE
Structure: optimized geometry

Summary:
As for the space group: No. 123. The density of states at the Fermi level comes out at 1.053 states/eV/atom. As for the formation energy: 1.7051 eV per atom. The value obtained for the size of the total moment is 1.15 μB/cell.

a b c (Å): 5.2604 5.2604 5.2940
angles (deg): 90.00 90.00 90.00
Closest atoms and distances in Å follow each position.
Fractional coordinates of all 5 atoms:
Nb1 0.0000 0.0000 0.0000  2 Ag 2.65
Ag1 0.0000 0.0000 0.5000  4 Pb 2.63, 2 Nb 2.65
Mo1 0.5000 0.5000 0.0000  4 Nb 3.72, 8 Pb 3.73
Pb1 0.0000 0.5000 0.5000  2 Ag 2.63
Pb2 0.5000 0.0000 0.5000  2 Ag 2.63

# 3
Compound: NbAgMoRh2
Source: the Alexandria database
Functional: PBE
Structure: optimized geometry

Summary:
As for the space group: No. 123. The density of states at the Fermi level comes out at 1.577 states/eV/atom. As for the formation energy: 1.4338 eV per atom. The value obtained for the size of the total moment is 0.00 μB/cell.

a b c (Å): 4.5929 4.5929 4.9446
angles (deg): 90.00 90.00 90.00
Closest atoms and distances in Å follow each position.
Fractional coordinates of all 5 atoms:
Nb1 0.0000 0.0000 0.0000  4 Ag 3.25, 8 Rh 3.37
Ag1 0.5000 0.5000 0.0000  2 Mo 2.47
Mo1 0.5000 0.5000 0.5000  4 Rh 2.30, 2 Ag 2.47
Rh1 0.0000 0.5000 0.5000  2 Mo 2.30
Rh2 0.5000 0.0000 0.5000  2 Mo 2.30

# 4
Compound: Nb2AgMoRh
Source: the Alexandria database
Functional: PBE
Structure: optimized geometry

Summary:
As for the space group: No. 123. The density of states at the Fermi level comes out at 1.055 states/eV/atom. As for the formation energy: 1.1939 eV per atom. The value obtained for the size of the total moment is 0.00 μB/cell.

a b c (Å): 4.7966 4.7966 4.7398
angles (deg): 90.00 90.00 90.00
Closest atoms and distances in Å follow each position.
Fractional coordinates of all 5 atoms:
Nb1 0.0000 0.5000 0.0000  2 Mo 2.40
Nb2 0.5000 0.0000 0.0000  2 Mo 2.40
Ag1 0.0000 0.0000 0.5000  8 Nb 3.37, 4 Rh 3.39
Mo1 0.5000 0.5000 0.0000  2 Rh 2.37, 4 Nb 2.40
Rh1 0.5000 0.5000 0.5000  2 Mo 2.37